The following is a GGA-PBE calculation of crystalline La2Ag15Pb2 at its relaxed geometry, from Alexandria.

```
19
Lattice="-4.846 -2.362 5.141 2.516 -7.007 0.269 4.510 1.025 5.840" Properties=species:S:1:pos:R:3 pbc="T T T"
La 0.756 -2.895 3.903
La 1.424 -5.449 7.347
Ag -2.423 -1.181 2.570
Ag 2.255 0.512 2.920
Ag 1.258 -3.503 0.135
Ag 3.146 -4.469 2.030
Ag -2.520 -3.830 3.601
Ag 1.554 -0.045 5.619
Ag 0.190 -5.539 1.809
Ag -1.890 -1.292 5.362
Ag 3.880 -1.513 4.079
Ag 3.760 -4.289 4.838
Ag -0.760 -5.925 4.500
Ag 0.203 -2.045 7.191
Ag -1.580 -4.055 6.412
Ag 2.940 -2.419 6.749
Ag 1.977 -6.298 4.059
Pb 0.231 -0.883 1.190
Pb 1.949 -7.461 10.060
```

Computed properties:
Energy of formation from the pure elements, kJ per mole of atoms: -7.6
Calculated volume, Å³/atom: 21.43
Final energy, eV per atom: -3.24
Calculated density, Mg/m³: 9.4
Space-group type: No. 166

***

The following is a GGA-PBE calculation of crystalline Tl2CdBr at its relaxed geometry, from Alexandria.

```
8
Lattice="7.183 0.000 0.000 0.000 7.183 0.000 3.591 3.591 7.018" Properties=species:S:1:pos:R:3 pbc="T T T"
Tl 5.449 1.796 1.755
Tl 1.734 5.387 1.755
Tl 5.387 5.325 5.264
Tl 8.978 9.040 5.264
Br 3.591 3.591 0.000
Br 3.591 7.183 3.509
Cd 0.000 0.000 0.000
Cd 7.183 3.591 3.509
```

Computed properties:
Calculated volume, Å³/atom: 45.26
Final energy, eV per atom: -1.94
Formation energy (no corrections), kJ per mole of atoms: -10.46
Calculated density, Mg/m³: 5.5
Space-group type: No. 122

***

The following is a GGA-PBE calculation of crystalline Mn3OsRh at its relaxed geometry, from Alexandria.

```
5
Lattice="-3.018 3.332 -0.717 -3.033 -3.063 -1.465 -1.554 -0.494 4.251" Properties=species:S:1:pos:R:3 pbc="T T T"
Rh -3.803 -0.112 1.034
Mn -1.517 -1.531 -0.733
Mn -0.777 -0.247 2.125
Mn -1.509 1.666 -0.358
Os 0.000 0.000 0.000
```

Computed properties:
Energy of formation from the pure elements, kJ per mole of atoms: 130.8
Calculated volume, Å³/atom: 18.87
Final energy, eV per atom: -7.86
Calculated density, Mg/m³: 8.1
Space-group type: No. 221

***

The following is a GGA-PBE calculation of crystalline ZnSCl2 at its relaxed geometry, from Alexandria.

```
4
Lattice="3.333 0.900 3.362 -1.229 2.287 4.060 -0.088 -2.394 4.182" Properties=species:S:1:pos:R:3 pbc="T T T"
Zn 1.008 0.396 5.802
S 0.000 0.000 0.000
Cl 0.504 0.198 2.901
Cl 1.512 0.595 8.703
```

Computed properties:
Calculated volume, Å³/atom: 19.78
Final energy, eV per atom: -1.83
Formation energy (no corrections), kJ per mole of atoms: 43.23
Calculated density, Mg/m³: 3.5
Space-group type: No. 225

***

The following is a GGA-PBE calculation of crystalline Dy3HoTl4S8 at its relaxed geometry, from Alexandria.

```
16
Lattice="-1.646 -4.980 -6.111 8.649 -0.884 -1.609 -2.547 -1.767 7.433" Properties=species:S:1:pos:R:3 pbc="T T T"
Dy 3.502 -2.932 -3.860
Dy 2.228 -3.816 -0.144
Dy 3.051 -1.326 2.912
Ho 4.325 -0.442 -0.804
Tl -0.823 -2.490 -3.055
Tl -2.096 -3.374 0.661
Tl 0.000 0.000 0.000
Tl -1.273 -0.884 3.716
S 3.192 -3.478 4.636
S 4.469 -2.591 0.908
S 0.812 -2.544 1.855
S 2.366 -5.975 1.571
S 2.091 -1.656 -1.858
S 3.645 -5.088 -2.142
S -0.012 -5.040 -1.195
S 1.265 -4.154 -4.923
```

Computed properties:
Calculated volume, Å³/atom: 26.40
Final energy, eV per atom: -5.29
Formation energy (no corrections), kJ per mole of atoms: -143.80
Calculated density, Mg/m³: 6.8
Space-group type: No. 166

***

The following is a GGA-PBE calculation of crystalline Pm6In2Au at its relaxed geometry, from Alexandria.

```
18
Lattice="-2.680 2.336 -3.746 6.344 -3.940 -6.996 -6.022 -8.231 -0.825" Properties=species:S:1:pos:R:3 pbc="T T T"
Pm -3.643 0.746 -4.047
Pm -1.491 -4.649 -8.952
Pm -4.033 -7.349 -8.816
Pm -4.310 -4.419 -3.233
Pm -6.071 -7.604 -3.958
Pm 0.059 -3.498 -5.784
Pm 1.286 -10.581 -7.519
Pm -0.867 -5.186 -2.614
Pm 1.676 -2.487 -2.750
Pm 1.952 -5.417 -8.334
Pm 3.714 -2.232 -7.608
Pm -2.416 -6.338 -5.783
In -5.593 -5.395 -6.483
In -0.516 -7.760 -8.031
In -1.842 -2.075 -3.536
In 3.235 -4.440 -5.084
Au 1.832 -0.802 -5.371
Au -3.011 -4.116 -0.412
```

Computed properties:
Energy of formation from the pure elements, kJ per mole of atoms: -35.9
Calculated volume, Å³/atom: 30.04
Final energy, eV per atom: -4.51
Calculated density, Mg/m³: 8.0
Space-group type: No. 136

***

> calculated density of number 5 (Dy3HoTl4S8)?

6.8 Mg/m³